Entry 1:
An optimized crystal structure of SiB2WN. Source: Alexandria, functional PBEsol.

The structure in POSCAR format:
```
SiB2WN
1.0
4.2451 0.0000 0.0000
0.0000 4.2451 0.0000
0.0000 0.0000 3.8633
Si B W N
1 2 1 1
direct
0.0000 0.0000 0.0000 Si
0.0000 0.5000 0.5000 B
0.5000 0.0000 0.5000 B
0.5000 0.5000 0.5000 W
0.5000 0.5000 0.0000 N
```

## Properties
Space-group type: No. 123
Raw formation energy, eV/atom: 1.296
Mass density, g/cm³: 5.9
Fermi-level density of states, states/eV per atom: 0.468
VASP energy, eV/f.u.: -35.63
Spin magnetization, μB/cell: 0.000

---

Entry 2:
An optimized crystal structure of AlOs3Br. Source: Alexandria, functional PBEsol.

The structure in POSCAR format:
```
AlOs3Br
1.0
4.4948 0.0000 0.0000
0.0000 4.4948 0.0000
0.0000 0.0000 4.4948
Al Os Br
1 3 1
direct
0.0000 0.0000 0.0000 Al
0.0000 0.5000 0.5000 Os
0.5000 0.0000 0.5000 Os
0.5000 0.5000 0.0000 Os
0.5000 0.5000 0.5000 Br
```

## Properties
Space-group type: No. 221
Raw formation energy, eV/atom: 2.343
Mass density, g/cm³: 12.4
Fermi-level density of states, states/eV per atom: 0.947
VASP energy, eV/f.u.: -30.90
Spin magnetization, μB/cell: 0.001

---

Entry 3:
An optimized crystal structure of Zr2SiHg. Source: Alexandria, functional PBEsol.

The structure in POSCAR format:
```
Zr2SiHg
1.0
3.0173 0.0000 0.0000
0.0000 3.0173 0.0000
0.0000 0.0000 8.2152
Zr Si Hg
2 1 1
direct
0.0000 0.0000 0.2234 Zr
0.0000 0.0000 0.7766 Zr
0.5000 0.5000 0.0000 Si
0.5000 0.5000 0.5000 Hg
```

## Properties
Space-group type: No. 123
Raw formation energy, eV/atom: -0.496
Mass density, g/cm³: 9.1
Fermi-level density of states, states/eV per atom: 0.606
VASP energy, eV/f.u.: -26.48
Spin magnetization, μB/cell: 0.000

---

Entry 4:
An optimized crystal structure of TaZnRh. Source: Alexandria, functional PBEsol.

The structure in POSCAR format:
```
TaZnRh
1.0
-1.4094 1.9147 4.0775
1.4094 -1.9147 4.0775
1.4094 1.9147 -4.0775
Ta Zn Rh
1 1 1
direct
0.0000 0.0000 0.0000 Ta
0.6703 0.6703 0.0000 Zn
0.3282 0.3282 0.0000 Rh
```

## Properties
Space-group type: No. 44
Mass density, g/cm³: 13.2
Fermi-level density of states, states/eV per atom: 0.503
ΔE_f, eV per atom: -0.327
VASP energy, eV/f.u.: -23.25
Spin magnetization, μB/cell: 0.000

---

- Which of these has the highest spin magnetization?
  AlOs3Br